First-principles (PBE-GGA) data for a relaxed PmThSnAu crystal, as listed in the Alexandria database.

## Properties
Crystal system: cubic
Calculated density, Mg/m³: 10.54
ΔE_f, eV per atom: -0.57
Total magnetization, μB per cell: 0.00

Lattice parameters (Å, degrees): 5.364 5.364 5.364 60.00 60.00 60.00
Fractional coordinates of all 4 atoms:
Au 0.750 0.750 0.750
Sn 0.250 0.250 0.250
Th 0.500 0.500 0.500
Pm 0.000 0.000 0.000